Record 1
{"formula": "SiWBr", "functional": "PBE", "state": "optimized geometry", "dos_ef_per_ev_atom": 0.75, "space_group": "F-43m", "e_above_lowest_polymorph_mev_per_atom": 882, "m_tot_mub_per_fu": 0.6, "formation_energy_uncorrected_ev_per_atom": 1.421, "cell": [[0.000, 3.088, 3.088], [3.088, 0.000, 3.088], [3.088, 3.088, 0.000]], "species": ["Si", "W", "Br"], "fractional_positions": [[0.000, 0.000, 0.000], [0.250, 0.250, 0.250], [0.750, 0.750, 0.750]]}

Record 2
{"formula": "Zr2VHg2", "functional": "PBE", "state": "optimized geometry", "dos_ef_per_ev_atom": 0.87, "space_group": "P4/mbm", "delta_e_f_mev_per_atom": 161, "m_tot_mub_per_fu": 2.8, "cell": [[7.476, 0.000, 0.000], [0.000, 7.476, 0.000], [0.000, 0.000, 3.869]], "species": ["Zr", "Zr", "Zr", "Zr", "V", "V", "Hg", "Hg", "Hg", "Hg"], "fractional_positions": [[0.173, 0.327, 0.000], [0.327, 0.827, 0.000], [0.673, 0.173, 0.000], [0.827, 0.673, 0.000], [0.000, 0.000, 0.500], [0.500, 0.500, 0.500], [0.134, 0.634, 0.500], [0.366, 0.134, 0.500], [0.634, 0.866, 0.500], [0.866, 0.366, 0.500]]}

Record 3
{"formula": "Pm2ReGe6Os", "functional": "PBE", "state": "optimized geometry", "dos_ef_per_ev_atom": 0.83, "space_group": "R-3m", "delta_e_f_mev_per_atom": -29, "m_tot_mub_per_fu": 0.0, "cell": [[3.829, 2.210, 9.081], [-3.829, 2.210, 9.081], [0.000, -4.421, 9.081]], "species": ["Pm", "Pm", "Pm", "Pm", "Re", "Re", "Ge", "Ge", "Ge", "Ge", "Ge", "Ge", "Ge", "Ge", "Ge", "Ge", "Ge", "Ge", "Os", "Os"], "fractional_positions": [[0.132, 0.132, 0.132], [0.283, 0.283, 0.283], [0.717, 0.717, 0.717], [0.868, 0.868, 0.868], [0.000, 0.000, 0.000], [0.500, 0.500, 0.500], [0.131, 0.614, 0.614], [0.205, 0.205, 0.729], [0.205, 0.729, 0.205], [0.271, 0.795, 0.795], [0.386, 0.386, 0.869], [0.386, 0.869, 0.386], [0.614, 0.131, 0.614], [0.614, 0.614, 0.131], [0.729, 0.205, 0.205], [0.795, 0.271, 0.795], [0.795, 0.795, 0.271], [0.869, 0.386, 0.386], [0.392, 0.392, 0.392], [0.608, 0.608, 0.608]]}

Record 4
{"formula": "PuSbAu", "functional": "PBE", "state": "optimized geometry", "dos_ef_per_ev_atom": 1.40, "space_group": "P2_1/m", "m_tot_mub_per_fu": 0.3, "formation_energy_uncorrected_ev_per_atom": -0.087, "cell": [[5.293, 0.000, 0.000], [0.000, 3.539, 0.000], [-0.980, 0.000, 6.909]], "species": ["Pu", "Pu", "Sb", "Sb", "Au", "Au"], "fractional_positions": [[0.021, 0.250, 0.110], [0.979, 0.750, 0.890], [0.461, 0.250, 0.799], [0.539, 0.750, 0.201], [0.206, 0.750, 0.484], [0.794, 0.250, 0.516]]}

Record 5
{"formula": "BaTmSc4Se8", "functional": "PBE", "state": "optimized geometry", "dos_ef_per_ev_atom": 0.50, "space_group": "R3m", "m_tot_mub_per_fu": 0.0, "formation_energy_uncorrected_ev_per_atom": -1.625, "cell": [[4.113, 2.375, 6.907], [-4.113, 2.375, 6.907], [0.000, -4.750, 6.907]], "species": ["Ba", "Tm", "Sc", "Sc", "Sc", "Sc", "Se", "Se", "Se", "Se", "Se", "Se", "Se", "Se"], "fractional_positions": [[0.000, 0.000, 0.000], [0.634, 0.634, 0.634], [0.129, 0.632, 0.632], [0.258, 0.258, 0.258], [0.632, 0.129, 0.632], [0.632, 0.632, 0.129], [0.386, 0.386, 0.864], [0.386, 0.864, 0.386], [0.388, 0.388, 0.388], [0.438, 0.869, 0.869], [0.858, 0.858, 0.858], [0.864, 0.386, 0.386], [0.869, 0.438, 0.869], [0.869, 0.869, 0.438]]}

Record 6
{"formula": "LiLa2Rh", "functional": "PBE", "state": "optimized geometry", "dos_ef_per_ev_atom": 1.15, "space_group": "Amm2", "delta_e_f_mev_per_atom": -300, "m_tot_mub_per_fu": 0.0, "cell": [[4.476, 0.000, 0.000], [0.000, 2.044, 5.588], [0.000, -2.044, 5.588]], "species": ["Li", "La", "La", "Rh"], "fractional_positions": [[0.000, 0.000, 0.000], [0.000, 0.700, 0.700], [0.500, 0.424, 0.424], [0.500, 0.137, 0.137]]}